Below is a PBEsol-optimized structure of CaZn2Au2, with properties calculated at the SCAN level.

Geometry as POSCAR:
```
CaZn2Au2
1.0
3.978 0.000 0.000
0.000 3.978 0.000
-1.989 -1.989 6.108
Zn Au Ca
2 2 1
Cartesian
0.000 1.989 3.054 Zn
1.989 0.000 3.054 Zn
0.000 0.000 4.744 Au
1.989 1.989 1.363 Au
0.000 0.000 0.000 Ca
```

Calculated values
As for the symmetry: I4/mmm. Its raw total energy is -35.63 eV per atom. The density of states at the Fermi level comes out at 2.1 states/eV/f.u. The total magnetization comes out at 0.00 μB/cell.

Below is a PBEsol-optimized structure of Na5Bi2As5O18, with properties calculated at the SCAN level.

Geometry as POSCAR:
```
Na5Bi2As5O18
1.0
7.072 0.008 -0.012
-0.150 10.092 -0.006
-0.489 -1.577 12.037
Na Bi As O
10 4 10 36
Cartesian
-0.315 -0.701 10.523 Na
5.246 0.701 4.301 Na
6.747 9.224 1.496 Na
3.033 6.740 4.839 Na
4.571 5.949 1.417 Na
6.184 7.323 4.158 Na
3.399 1.782 7.180 Na
1.186 7.822 7.719 Na
0.248 1.200 7.861 Na
1.861 2.574 10.603 Na
1.390 3.172 4.753 Bi
4.702 2.277 0.731 Bi
5.043 5.351 7.266 Bi
1.731 6.246 11.289 Bi
1.048 5.619 1.905 As
3.377 9.131 2.343 As
5.272 6.041 10.715 As
1.160 2.482 1.305 As
4.847 3.773 4.079 As
1.585 4.750 7.941 As
5.041 8.919 7.311 As
5.384 2.904 10.115 As
1.391 -0.397 4.708 As
3.055 -0.608 9.676 As
2.453 2.480 0.193 O
6.815 6.676 1.935 O
2.378 0.822 9.116 O
1.390 1.048 5.657 O
5.042 7.475 6.362 O
6.096 4.467 10.713 O
4.662 6.419 9.184 O
1.330 3.210 7.244 O
1.682 5.274 3.449 O
6.545 -1.036 8.301 O
-0.382 1.847 10.084 O
0.336 4.056 1.307 O
4.210 2.565 11.318 O
1.452 8.274 5.568 O
-0.552 7.042 11.273 O
4.750 3.249 8.570 O
4.343 -0.487 10.788 O
6.984 1.481 0.747 O
6.234 2.772 4.189 O
4.981 0.249 6.452 O
3.665 2.941 5.028 O
2.044 4.621 9.579 O
4.389 3.902 2.440 O
3.507 8.670 8.204 O
5.103 5.313 4.775 O
2.925 -0.147 3.816 O
0.198 5.751 7.831 O
-0.113 9.559 3.719 O
1.770 2.104 2.835 O
2.090 9.010 1.231 O
1.729 8.330 10.126 O
2.767 5.582 6.991 O
4.054 7.701 2.903 O
2.222 5.958 0.701 O
4.703 0.193 1.894 O
3.979 6.043 11.826 O
```

Calculated values
As for the symmetry: P-1. For the energy relative to the elements, uncorrected, the calculation gives -155 kJ per mole of atoms. Its raw total energy is -14.66 eV per atom. The density of states at the Fermi level comes out at 0.0 states/eV/f.u. The total magnetization comes out at 0.00 μB/cell.

Below is a PBEsol-optimized structure of AsP2Br, with properties calculated at the SCAN level.

Geometry as POSCAR:
```
AsP2Br
1.0
3.311 0.000 0.000
0.000 4.697 0.000
-1.656 -2.349 4.704
P As Br
2 1 1
Cartesian
1.656 2.349 2.739 P
0.000 0.000 1.964 P
1.656 0.000 0.000 As
0.000 2.349 0.000 Br
```

Calculated values
As for the symmetry: Immm. For the energy relative to the elements, uncorrected, the calculation gives 78 kJ per mole of atoms. Its raw total energy is -14.30 eV per atom. The density of states at the Fermi level comes out at 1.7 states/eV/f.u. The calculation puts the energy above the lowest structure with this stoichiometry at 0.579 eV/atom. The total magnetization comes out at 0.00 μB/cell.

Below is a PBEsol-optimized structure of HfPS2I, with properties calculated at the SCAN level.

Geometry as POSCAR:
```
HfPS2I
1.0
4.771 0.000 0.000
0.000 4.771 0.000
0.000 0.000 5.352
I P S Hf
1 1 2 1
Cartesian
2.385 2.385 2.676 I
0.000 0.000 2.676 P
0.000 2.385 0.000 S
2.385 0.000 0.000 S
0.000 0.000 0.000 Hf
```

Calculated values
As for the symmetry: P4/mmm. For the energy relative to the elements, uncorrected, the calculation gives -18 kJ per mole of atoms. Its raw total energy is -26.00 eV per atom. The density of states at the Fermi level comes out at 3.8 states/eV/f.u. The total magnetization comes out at 0.00 μB/cell.

Below is a PBEsol-optimized structure of Ca2MoRu, with properties calculated at the SCAN level.

Geometry as POSCAR:
```
Ca2MoRu
1.0
-1.560 -2.370 2.689
3.354 -2.001 0.182
0.697 5.180 2.128
Ru Mo Ca
1 1 2
Cartesian
0.000 0.000 0.000 Ru
0.897 -2.185 1.435 Mo
0.017 0.312 3.126 Ca
2.473 0.497 1.873 Ca
```

Calculated values
As for the symmetry: I4/mmm. Its raw total energy is -21.50 eV per atom. The density of states at the Fermi level comes out at 3.2 states/eV/f.u. The total magnetization comes out at 0.00 μB/cell.

Below is a PBEsol-optimized structure of Na5CuHO4, with properties calculated at the SCAN level.

Geometry as POSCAR:
```
Na5CuHO4
1.0
-5.140 1.601 8.152
-2.598 -9.584 0.245
9.544 -2.421 6.493
Na Cu H O
40 8 8 32
Cartesian
-0.069 0.103 4.763 Na
1.599 -0.417 2.117 Na
-3.262 -8.372 10.500 Na
-1.390 -8.955 7.531 Na
0.558 -9.439 5.133 Na
3.168 -9.638 12.671 Na
4.909 -10.030 10.150 Na
6.804 -10.620 7.144 Na
2.286 -8.475 8.041 Na
4.050 -9.024 5.244 Na
-4.885 -5.832 8.855 Na
-3.121 -6.382 6.057 Na
-1.808 -5.715 10.921 Na
0.087 -6.306 7.915 Na
1.663 -6.656 5.283 Na
3.617 -6.688 12.375 Na
4.989 -7.026 9.585 Na
6.862 -7.610 6.615 Na
0.853 -5.029 12.206 Na
2.521 -5.549 9.560 Na
-0.715 -4.855 5.330 Na
0.953 -5.375 2.684 Na
-5.055 -2.795 8.274 Na
-3.183 -3.378 5.305 Na
-1.811 -3.716 2.515 Na
0.143 -3.749 9.607 Na
1.719 -4.099 6.974 Na
3.615 -4.689 3.968 Na
4.927 -4.023 8.832 Na
6.691 -4.572 6.035 Na
-2.244 -1.380 9.646 Na
-0.480 -1.930 6.848 Na
-4.998 0.216 7.745 Na
-3.103 -0.375 4.739 Na
-1.362 -0.766 2.219 Na
1.248 -0.965 9.757 Na
5.068 -2.033 4.389 Na
3.196 -1.450 7.359 Na
0.207 -9.987 12.773 Na
1.875 -10.507 10.127 Na
-4.413 -8.754 7.718 Cu
-0.027 -7.874 10.310 Cu
-2.016 -6.676 2.967 Cu
4.153 -6.248 6.773 Cu
-2.347 -4.156 8.117 Cu
3.822 -3.728 11.922 Cu
1.834 -2.531 4.580 Cu
6.219 -1.651 7.172 Cu
-1.058 -7.337 5.079 H
0.152 -7.713 3.160 H
1.161 -7.687 12.399 H
2.370 -8.064 10.481 H
-0.564 -2.340 4.408 H
0.646 -2.717 2.490 H
1.654 -2.691 11.729 H
2.864 -3.068 9.811 H
2.451 -10.175 6.471 O
-4.374 -8.277 5.900 O
-5.909 -7.799 8.334 O
0.317 -9.215 9.041 O
-1.219 -8.737 11.477 O
-2.509 -8.443 3.003 O
1.514 -7.853 13.304 O
3.294 -8.407 10.481 O
-0.657 -7.330 5.979 O
1.122 -7.884 3.156 O
0.439 -6.100 10.255 O
-2.594 -5.275 4.077 O
-1.058 -5.754 1.640 O
2.388 -6.287 7.415 O
3.922 -6.765 4.981 O
-3.904 -4.525 7.207 O
5.711 -5.880 7.682 O
-2.116 -3.639 9.909 O
-0.582 -4.118 7.475 O
2.864 -4.651 13.249 O
4.400 -5.129 10.813 O
1.367 -4.305 4.634 O
0.684 -2.520 11.734 O
2.464 -3.075 8.910 O
-1.488 -1.997 4.408 O
0.292 -2.552 1.585 O
4.315 -1.961 11.886 O
3.026 -1.668 3.412 O
1.489 -1.189 5.849 O
7.715 -2.605 6.555 O
6.181 -2.127 8.989 O
-0.645 -0.230 8.419 O
```

Calculated values
As for the symmetry: Pnma. Its raw total energy is -7.21 eV per atom. The total magnetization comes out at 8.48 μB/cell.

Q: Which value of raw total energy does entry 2 give?
A: -14.66 eV per atom

Q: The lowest raw total energy belongs to which entry?
A: CaZn2Au2

Q: The lowest raw total energy belongs to which entry?
A: CaZn2Au2